# 1
LuHg2Sb: optimized geometry, PBE-GGA.

## Properties
Its space-group type is No. 216. Its uncorrected energy is -2.5320 eV per atom.

```
data_LuHg2Sb
_chemical_formula_sum 'Lu1 Hg2 Sb1'
_space_group_name_H-M_alt 'P 1'
_space_group_IT_number 1
_cell_length_a 5.259
_cell_length_b 5.259
_cell_length_c 5.259
_cell_angle_alpha 60.00
_cell_angle_beta 60.00
_cell_angle_gamma 60.00
loop_
_space_group_symop_operation_xyz
'x,y,z'
loop_
_atom_site_label
_atom_site_fract_x
_atom_site_fract_y
_atom_site_fract_z
Lu1 0.000 0.000 0.000
Hg1 0.250 0.250 0.250
Hg2 0.500 0.500 0.500
Sb1 0.750 0.750 0.750
```


# 2
Rb2GaNiBr6: optimized geometry, PBE-GGA.

## Properties
Its space-group type is No. 225. Its uncorrected energy is -3.0470 eV per atom.

```
data_Rb2GaNiBr6
_chemical_formula_sum 'Rb2 Ga1 Ni1 Br6'
_space_group_name_H-M_alt 'P 1'
_space_group_IT_number 1
_cell_length_a 7.461
_cell_length_b 7.461
_cell_length_c 7.461
_cell_angle_alpha 60.00
_cell_angle_beta 60.00
_cell_angle_gamma 60.00
loop_
_space_group_symop_operation_xyz
'x,y,z'
loop_
_atom_site_label
_atom_site_fract_x
_atom_site_fract_y
_atom_site_fract_z
Rb1 0.250 0.250 0.250
Rb2 0.750 0.750 0.750
Ga1 0.000 0.000 0.000
Ni1 0.500 0.500 0.500
Br1 0.255 0.255 0.745
Br2 0.255 0.745 0.255
Br3 0.255 0.745 0.745
Br4 0.745 0.255 0.255
Br5 0.745 0.255 0.745
Br6 0.745 0.745 0.255
```


# 3
MgAu: optimized geometry, PBE-GGA.

## Properties
Its space-group type is No. 59. Its uncorrected energy is -2.8525 eV per atom.

```
data_MgAu
_chemical_formula_sum 'Mg8 Au8'
_space_group_name_H-M_alt 'P 1'
_space_group_IT_number 1
_cell_length_a 4.779
_cell_length_b 11.979
_cell_length_c 5.119
_cell_angle_alpha 90.00
_cell_angle_beta 90.00
_cell_angle_gamma 90.00
loop_
_space_group_symop_operation_xyz
'x,y,z'
loop_
_atom_site_label
_atom_site_fract_x
_atom_site_fract_y
_atom_site_fract_z
Mg1 0.250 0.098 0.160
Mg2 0.250 0.250 0.684
Mg3 0.250 0.402 0.160
Mg4 0.250 0.750 0.682
Mg5 0.750 0.250 0.318
Mg6 0.750 0.598 0.840
Mg7 0.750 0.750 0.316
Mg8 0.750 0.902 0.840
Au1 0.250 0.000 0.666
Au2 0.250 0.500 0.666
Au3 0.250 0.633 0.165
Au4 0.250 0.867 0.165
Au5 0.750 0.000 0.334
Au6 0.750 0.133 0.835
Au7 0.750 0.367 0.835
Au8 0.750 0.500 0.334
```


# 4
ThPaTl: optimized geometry, PBE-GGA.

## Properties
Its space-group type is No. 216. For the polymorph energy (0 for the lowest one), the calculation gives 0 meV per atom. Its uncorrected energy is -5.7934 eV per atom.

```
data_ThPaTl
_chemical_formula_sum 'Th1 Pa1 Tl1'
_space_group_name_H-M_alt 'P 1'
_space_group_IT_number 1
_cell_length_a 5.185
_cell_length_b 5.185
_cell_length_c 5.185
_cell_angle_alpha 60.00
_cell_angle_beta 60.00
_cell_angle_gamma 60.00
loop_
_space_group_symop_operation_xyz
'x,y,z'
loop_
_atom_site_label
_atom_site_fract_x
_atom_site_fract_y
_atom_site_fract_z
Th1 0.000 0.000 0.000
Pa1 0.500 0.500 0.500
Tl1 0.750 0.750 0.750
```


uncorrected energy of number 1 (LuHg2Sb)?
-2.5320 eV per atom


Number 1 is which compound?
LuHg2Sb